(1)
Tb2PuSi6 | GGA-PBE | relaxed

Properties
The value obtained for the total moment is 5.0 μB/f.u. As for the uncorrected formation energy: -545.8 meV per atom. The density of states at the Fermi level is 0.8796 states/eV/atom.

Geometry as CIF:
```
data_Tb2PuSi6
_space_group_name_H-M_alt 'P 6/m m m'
_space_group_IT_number 191
_space_group_name_Hall '-P 6 2'
_cell_length_a 7.0411
_cell_length_b 7.0411
_cell_length_c 3.9450
_cell_angle_alpha 90.00
_cell_angle_beta 90.00
_cell_angle_gamma 120.00
loop_
_atom_site_label
_atom_site_fract_x
_atom_site_fract_y
_atom_site_fract_z
_atom_site_occupancy
Tb1 0.3333 0.6667 0.0000 1
Pu1 0.0000 0.0000 0.0000 1
Si1 0.0000 0.3329 0.5000 1
```



(2)
Tb2PuSi | GGA-PBE | relaxed

Properties
The relative energy among the computed polymorphs is 295 meV per atom. The value obtained for the total moment is 6.4 μB/f.u. As for the uncorrected formation energy: 102.7 meV per atom. The density of states at the Fermi level is 2.3069 states/eV/atom.

Geometry as CIF:
```
data_Tb2PuSi
_space_group_name_H-M_alt 'R -3 m'
_space_group_IT_number 166
_space_group_name_Hall '-R 3 2"'
_cell_length_a 3.5199
_cell_length_b 3.5199
_cell_length_c 32.0350
_cell_angle_alpha 90.00
_cell_angle_beta 90.00
_cell_angle_gamma 120.00
loop_
_atom_site_label
_atom_site_fract_x
_atom_site_fract_y
_atom_site_fract_z
_atom_site_occupancy
Tb1 0.0000 0.0000 0.1041 1
Pu1 0.0000 0.0000 0.0000 1
Si1 0.0000 0.0000 0.5000 1
```



(3)
TbPuSi3 | GGA-PBE | relaxed

Properties
The value obtained for the total moment is 5.3 μB/f.u. As for the uncorrected formation energy: -594.2 meV per atom. The density of states at the Fermi level is 1.9831 states/eV/atom.

Geometry as CIF:
```
data_TbPuSi3
_space_group_name_H-M_alt 'C m c m'
_space_group_IT_number 63
_space_group_name_Hall '-C 2c 2'
_cell_length_a 4.1328
_cell_length_b 24.5978
_cell_length_c 3.9468
_cell_angle_alpha 90.00
_cell_angle_beta 90.00
_cell_angle_gamma 90.00
loop_
_atom_site_label
_atom_site_fract_x
_atom_site_fract_y
_atom_site_fract_z
_atom_site_occupancy
Tb1 0.0000 0.2028 0.2500 1
Pu1 0.0000 0.0705 0.7500 1
Si1 0.0000 0.3250 0.2500 1
Si2 0.0000 0.3819 0.7500 1
Si3 0.0000 0.4757 0.7500 1
```



(4)
TbPu2Si2 | GGA-PBE | relaxed

Properties
The value obtained for the total moment is 0.0 μB/f.u. As for the uncorrected formation energy: -380.0 meV per atom. The density of states at the Fermi level is 2.0385 states/eV/atom.

Geometry as CIF:
```
data_TbPu2Si2
_space_group_name_H-M_alt 'C m c 21'
_space_group_IT_number 36
_cell_length_a 3.7847
_cell_length_b 13.3327
_cell_length_c 8.7082
_cell_angle_alpha 90.00
_cell_angle_beta 90.00
_cell_angle_gamma 90.00
loop_
_space_group_symop_operation_xyz
'x,y,z'
'-x,-y,z+1/2'
'-x,y,z'
'x,-y,z+1/2'
'x+1/2,y+1/2,z'
'-x+1/2,-y+1/2,z+1/2'
'-x+1/2,y+1/2,z'
'x+1/2,-y+1/2,z+1/2'
loop_
_atom_site_label
_atom_site_fract_x
_atom_site_fract_y
_atom_site_fract_z
_atom_site_occupancy
Tb1 0.0000 0.0798 0.0000 1
Pu1 0.0000 0.1840 0.5882 1
Pu2 0.0000 0.3580 0.9085 1
Si1 0.0000 0.2944 0.3255 1
Si2 0.0000 0.4666 0.2127 1
```



(5)
PuSi2Tc4 | GGA-PBE | relaxed

Properties
The value obtained for the total moment is 4.4 μB/f.u. As for the uncorrected formation energy: -391.0 meV per atom. The density of states at the Fermi level is 2.2855 states/eV/atom.

Geometry as CIF:
```
data_PuSi2Tc4
_space_group_name_H-M_alt 'C m m m'
_space_group_IT_number 65
_space_group_name_Hall '-C 2 2'
_cell_length_a 4.0990
_cell_length_b 13.8939
_cell_length_c 4.0315
_cell_angle_alpha 90.00
_cell_angle_beta 90.00
_cell_angle_gamma 90.00
loop_
_atom_site_label
_atom_site_fract_x
_atom_site_fract_y
_atom_site_fract_z
_atom_site_occupancy
Pu1 0.0000 0.0000 0.0000 1
Si1 0.0000 0.4134 0.5000 1
Tc1 0.0000 0.1858 0.5000 1
Tc2 0.0000 0.3057 0.0000 1
```



(6)
Pu3Si2Tc5 | GGA-PBE | relaxed

Properties
The value obtained for the total moment is 15.5 μB/f.u. As for the uncorrected formation energy: -92.2 meV per atom. The density of states at the Fermi level is 2.6947 states/eV/atom.

Geometry as CIF:
```
data_Pu3Si2Tc5
_space_group_name_H-M_alt 'I b a m'
_space_group_IT_number 72
_space_group_name_Hall '-I 2 2c'
_cell_length_a 10.9536
_cell_length_b 11.9684
_cell_length_c 5.7748
_cell_angle_alpha 90.00
_cell_angle_beta 90.00
_cell_angle_gamma 90.00
loop_
_atom_site_label
_atom_site_fract_x
_atom_site_fract_y
_atom_site_fract_z
_atom_site_occupancy
Pu1 0.0000 0.0000 0.2500 1
Pu2 0.2263 0.3771 0.0000 1
Si1 0.1739 0.1332 0.0000 1
Tc1 0.0000 0.2133 0.2500 1
Tc2 0.0000 0.5000 0.2500 1
Tc3 0.1061 0.3597 0.5000 1
```



(7)
Pu2Si4Tc3 | GGA-PBE | relaxed

Properties
The relative energy among the computed polymorphs is 0 meV per atom. The value obtained for the total moment is 9.3 μB/f.u. As for the uncorrected formation energy: -563.6 meV per atom. The density of states at the Fermi level is 1.8382 states/eV/atom.

Geometry as CIF:
```
data_Pu2Si4Tc3
_space_group_name_H-M_alt 'P 1 21/c 1'
_space_group_IT_number 14
_cell_length_a 6.8231
_cell_length_b 8.0292
_cell_length_c 5.6503
_cell_angle_alpha 90.00
_cell_angle_beta 104.01
_cell_angle_gamma 90.00
loop_
_space_group_symop_operation_xyz
'x,y,z'
'-x,-y,-z'
'-x,y+1/2,-z+1/2'
'x,-y+1/2,z+1/2'
loop_
_atom_site_label
_atom_site_fract_x
_atom_site_fract_y
_atom_site_fract_z
_atom_site_occupancy
Pu1 0.2469 0.0580 0.0718 1
Si1 0.0794 0.7480 0.2767 1
Si2 0.3731 0.0964 0.6154 1
Tc1 0.0000 0.0000 0.5000 1
Tc2 0.3859 0.7069 0.1131 1
```



(8)
Pu3Si3Tc | GGA-PBE | relaxed

Properties
The value obtained for the total moment is 5.5 μB/f.u. As for the uncorrected formation energy: -393.2 meV per atom. The density of states at the Fermi level is 3.4562 states/eV/atom.

Geometry as CIF:
```
data_Pu3Si3Tc
_space_group_name_H-M_alt 'C m c m'
_space_group_IT_number 63
_space_group_name_Hall '-C 2c 2'
_cell_length_a 4.2053
_cell_length_b 10.5612
_cell_length_c 12.5023
_cell_angle_alpha 90.00
_cell_angle_beta 90.00
_cell_angle_gamma 90.00
loop_
_atom_site_label
_atom_site_fract_x
_atom_site_fract_y
_atom_site_fract_z
_atom_site_occupancy
Pu1 0.0000 0.0298 0.2500 1
Pu2 0.0000 0.2667 0.5974 1
Si1 0.0000 0.3092 0.2500 1
Si2 0.0000 0.4451 0.0942 1
Tc1 0.0000 0.0000 0.0000 1
```



(9)
Pu2Si2Tc3 | GGA-PBE | relaxed

Properties
The value obtained for the total moment is 8.7 μB/f.u. As for the uncorrected formation energy: -352.9 meV per atom. The density of states at the Fermi level is 1.9669 states/eV/atom.

Geometry as CIF:
```
data_Pu2Si2Tc3
_space_group_name_H-M_alt 'C 1 2/m 1'
_space_group_IT_number 12
_cell_length_a 10.9405
_cell_length_b 3.2964
_cell_length_c 7.3638
_cell_angle_alpha 90.00
_cell_angle_beta 113.03
_cell_angle_gamma 90.00
loop_
_space_group_symop_operation_xyz
'x,y,z'
'-x,-y,-z'
'-x,y,-z'
'x,-y,z'
'x+1/2,y+1/2,z'
'-x+1/2,-y+1/2,-z'
'-x+1/2,y+1/2,-z'
'x+1/2,-y+1/2,z'
loop_
_atom_site_label
_atom_site_fract_x
_atom_site_fract_y
_atom_site_fract_z
_atom_site_occupancy
Pu1 0.1187 0.0000 0.2794 1
Si1 0.1577 0.0000 0.7290 1
Tc1 0.0000 0.5000 0.5000 1
Tc2 0.1355 0.5000 0.9621 1
```



(10)
PuSiTc | GGA-PBE | relaxed

Properties
The relative energy among the computed polymorphs is 0 meV per atom. The value obtained for the total moment is 5.1 μB/f.u. As for the uncorrected formation energy: -417.3 meV per atom. The density of states at the Fermi level is 1.6516 states/eV/atom.

Geometry as CIF:
```
data_PuSiTc
_space_group_name_H-M_alt 'P 4/n m m'
_space_group_IT_number 129
_cell_length_a 4.3117
_cell_length_b 4.3117
_cell_length_c 6.3465
_cell_angle_alpha 90.00
_cell_angle_beta 90.00
_cell_angle_gamma 90.00
loop_
_space_group_symop_operation_xyz
'x,y,z'
'-x,-y,-z'
'-y+1/2,x,z'
'y+1/2,-x,-z'
'-x+1/2,-y+1/2,z'
'x+1/2,y+1/2,-z'
'y,-x+1/2,z'
'-y,x+1/2,-z'
'x+1/2,-y,-z'
'-x+1/2,y,z'
'-y,-x,-z'
'y,x,z'
'-x,y+1/2,-z'
'x,-y+1/2,z'
'y+1/2,x+1/2,-z'
'-y+1/2,-x+1/2,z'
loop_
_atom_site_label
_atom_site_fract_x
_atom_site_fract_y
_atom_site_fract_z
_atom_site_occupancy
Pu1 0.2500 0.2500 0.1871 1
Si1 0.2500 0.2500 0.6975 1
Tc1 0.2500 0.7500 0.5000 1
```



(11)
Pu3Si4Tc7 | GGA-PBE | relaxed

Properties
The value obtained for the total moment is 13.3 μB/f.u. As for the uncorrected formation energy: -348.3 meV per atom. The density of states at the Fermi level is 1.7116 states/eV/atom.

Geometry as CIF:
```
data_Pu3Si4Tc7
_space_group_name_H-M_alt 'C 1 2/m 1'
_space_group_IT_number 12
_cell_length_a 15.1440
_cell_length_b 4.2399
_cell_length_c 8.7376
_cell_angle_alpha 90.00
_cell_angle_beta 123.90
_cell_angle_gamma 90.00
loop_
_space_group_symop_operation_xyz
'x,y,z'
'-x,-y,-z'
'-x,y,-z'
'x,-y,z'
'x+1/2,y+1/2,z'
'-x+1/2,-y+1/2,-z'
'-x+1/2,y+1/2,-z'
'x+1/2,-y+1/2,z'
loop_
_atom_site_label
_atom_site_fract_x
_atom_site_fract_y
_atom_site_fract_z
_atom_site_occupancy
Pu1 0.0000 0.0000 0.0000 1
Pu2 0.2135 0.5000 0.7196 1
Si1 0.1270 0.0000 0.4074 1
Si2 0.1423 0.5000 0.0039 1
Tc1 0.0000 0.0000 0.5000 1
Tc2 0.0054 0.5000 0.3248 1
Tc3 0.1592 0.0000 0.8633 1
Tc4 0.1812 0.5000 0.3288 1
```



(12)
Pu2Si3Tc | GGA-PBE | relaxed

Properties
The value obtained for the total moment is 10.1 μB/f.u. As for the uncorrected formation energy: -456.4 meV per atom. The density of states at the Fermi level is 2.0209 states/eV/atom.

Geometry as CIF:
```
data_Pu2Si3Tc
_space_group_name_H-M_alt 'R -3 m'
_space_group_IT_number 166
_space_group_name_Hall '-R 3 2"'
_cell_length_a 5.3936
_cell_length_b 5.3936
_cell_length_c 12.2332
_cell_angle_alpha 90.00
_cell_angle_beta 90.00
_cell_angle_gamma 120.00
loop_
_atom_site_label
_atom_site_fract_x
_atom_site_fract_y
_atom_site_fract_z
_atom_site_occupancy
Pu1 0.0000 0.0000 0.1177 1
Si1 0.0000 0.5000 0.0000 1
Tc1 0.0000 0.0000 0.5000 1
```